(1)
Entry from the Alexandria database: crystalline Ba2NdFe2O6 at its relaxed geometry (PBE with a Hubbard U).

Geometry as extended XYZ:
```
11
Lattice="-2.437 -1.681 5.463 2.528 -4.672 3.224 3.642 1.775 5.704" Properties=species:S:1:pos:R:3 pbc="T T T"
Fe 2.638 -1.458 7.795
Fe 1.095 -3.120 6.596
O 2.692 -0.291 6.358
O 1.041 -4.287 8.033
O 1.437 -1.157 9.172
O 2.296 -3.421 5.218
O 3.995 -2.698 8.018
O -0.261 -1.879 6.372
Ba 2.339 -3.931 10.434
Ba 1.395 -0.647 3.956
Nd 0.000 0.000 0.000
```

Calculated values
* E: -6.753 eV/atom
* space group: R-3m (166)



(2)
Entry from the Alexandria database: crystalline PaFeO at its relaxed geometry (PBE with a Hubbard U).

Geometry as extended XYZ:
```
6
Lattice="-0.674 -4.319 0.023 3.309 -0.529 -2.407 3.699 0.140 5.055" Properties=species:S:1:pos:R:3 pbc="T T T"
Fe 2.005 -1.938 1.415
Fe 4.330 -2.771 1.257
Pa 3.600 -0.234 3.233
Pa 2.735 -4.474 -0.561
O 1.229 -0.468 0.025
O 5.106 -4.240 2.647
```

Calculated values
* E: -7.715 eV/atom
* space group: P2_1/m (11)